## BaLiPrEu (PBE)

Data for an optimized crystal structure of BaLiPrEu.

As for the energy relative to the elements: 0.23 eV/atom. The space-group type is F-43m.

Unit cell a=6.1017 b=6.1017 c=6.1017 alpha=60.00 beta=60.00 gamma=60.00
Last column: nearest neighbours and their distance in Å.
Fractional positions:
Eu  0.5000  0.5000  0.5000  4 Pr 3.74, 4 Ba 3.74
Pr  0.7500  0.7500  0.7500  4 Eu 3.74, 4 Li 3.74
Ba  0.2500  0.2500  0.2500  4 Li 3.74, 4 Eu 3.74
Li  0.0000  0.0000  0.0000  4 Ba 3.74, 4 Pr 3.74


## BeVIr2 (PBE)

Data for an optimized crystal structure of BeVIr2.

As for the energy relative to the elements: 0.16 eV/atom. The space-group type is Immm.

Unit cell a=5.5610 b=5.5610 c=5.5610 alpha=51.97 beta=151.94 gamma=137.20
Last column: nearest neighbours and their distance in Å.
Fractional positions:
Be  0.0000  0.0000  0.0000  2 Ir 2.02
V  0.0000  0.5000  0.5000  4 Be 2.44, 2 V 2.70
Ir  0.0000  0.2025  0.2025  1 Be 2.02
Ir  0.0000  0.7975  0.7975  1 Be 2.02


## BaCdCu3 (PBE)

Data for an optimized crystal structure of BaCdCu3.

As for the energy above the lowest structure with this stoichiometry: 0.000 eV/atom. As for the energy relative to the elements: 0.26 eV/atom. The space-group type is Pm-3m.

Unit cell a=5.0081 b=5.0081 c=5.0081 alpha=90.00 beta=90.00 gamma=90.00
Last column: nearest neighbours and their distance in Å.
Fractional positions:
Ba  0.5000  0.5000  0.5000  12 Cu 3.54
Cu  0.0000  0.5000  0.0000  2 Cd 2.50
Cu  0.0000  0.0000  0.5000  2 Cd 2.50
Cu  0.5000  0.0000  0.0000  2 Cd 2.50
Cd  0.0000  0.0000  0.0000  6 Cu 2.50


## LiMg3 (PBE)

Data for an optimized crystal structure of LiMg3.

As for the energy relative to the elements: -0.02 eV/atom. The space-group type is I4/mmm.

Unit cell a=4.4574 b=4.4574 c=5.4271 alpha=114.25 beta=114.25 gamma=90.00
Last column: nearest neighbours and their distance in Å.
Fractional positions:
Li  0.0000  0.0000  0.0000  12 Mg 3.14-3.15
Mg  0.7500  0.2500  0.5000  4 Li 3.14, 8 Mg 3.14-3.15
Mg  0.5000  0.5000  0.0000  8 Mg 3.14, 4 Li 3.15
Mg  0.2500  0.7500  0.5000  4 Li 3.14, 8 Mg 3.14-3.15


## ScTl2As2O6 (PBE)

Data for an optimized crystal structure of ScTl2As2O6.

The space-group type is C2/m. Its raw formation energy is -1.55 eV per atom.

Unit cell a=5.8301 b=5.6537 c=7.2465 alpha=111.25 beta=90.00 gamma=121.04
Last column: nearest neighbours and their distance in Å.
Fractional positions:
Sc  0.5000  0.0000  0.5000  6 O 2.14
Tl  0.7119  0.4238  0.1818  3 O 2.71-2.75
Tl  0.2881  0.5762  0.8182  3 O 2.71-2.75
As  0.9284  0.8568  0.7637  3 O 1.77
As  0.0716  0.1432  0.2363  3 O 1.77
O  0.7387  0.4773  0.5755  1 As 1.77
O  0.2114  0.9515  0.2839  1 As 1.77
O  0.2600  0.0485  0.7161  1 As 1.77
O  0.7886  0.0485  0.7161  1 As 1.77
O  0.7400  0.9515  0.2839  1 As 1.77
O  0.2613  0.5227  0.4245  1 As 1.77


## ZnInNiAg (PBE)

Data for an optimized crystal structure of ZnInNiAg.

As for the energy relative to the elements: 0.01 eV/atom. The space-group type is F-43m.

Unit cell a=4.5062 b=4.5062 c=4.5062 alpha=60.00 beta=60.00 gamma=60.00
Last column: nearest neighbours and their distance in Å.
Fractional positions:
Ni  0.7500  0.7500  0.7500  4 In 2.76, 4 Zn 2.76
Zn  0.0000  0.0000  0.0000  4 Ni 2.76, 4 Ag 2.76
Ag  0.2500  0.2500  0.2500  4 Zn 2.76, 4 In 2.76
In  0.5000  0.5000  0.5000  4 Ag 2.76, 4 Ni 2.76